Version i
Entry from Alexandria: a relaxed Nb3OsPd crystal (GGA-PBE).

Cell lengths 4.7422, 4.7422, 4.7422 Å; angles 90.00, 90.00, 90.00 degrees
Closest atoms and distances in Å follow each position.
Sites, in units of the cell vectors:
Nb 0.0000 0.0000 0.5000  2 Pd 2.37
Nb 0.0000 0.5000 0.0000  2 Pd 2.37
Nb 0.5000 0.0000 0.0000  2 Pd 2.37
Os 0.5000 0.5000 0.5000  12 Nb 3.35
Pd 0.0000 0.0000 0.0000  6 Nb 2.37

Output
SG   Pm-3m, No. 221
DOS(E_F)   1.42 states/eV/atom
Magnetization   0.00 μB per cell

=====

Version ii
Entry from Alexandria: a relaxed Nb3OsPd crystal (GGA-PBE).

Cell lengths 4.8221, 4.8221, 4.8221 Å; angles 90.00, 90.00, 90.00 degrees
Closest atoms and distances in Å follow each position.
Sites, in units of the cell vectors:
Nb 0.0000 0.0000 0.5000  2 Os 2.41
Nb 0.0000 0.5000 0.0000  2 Os 2.41
Nb 0.5000 0.0000 0.0000  2 Os 2.41
Os 0.0000 0.0000 0.0000  6 Nb 2.41
Pd 0.5000 0.5000 0.5000  12 Nb 3.41

Output
SG   Pm-3m, No. 221
DOS(E_F)   1.19 states/eV/atom
Magnetization   0.00 μB per cell

=====

Energy ordering: version ii at the bottom, the next structure 61.6 kJ/mol of atoms above.

=====

Version i
Entry from Alexandria: a relaxed NbOs3Pt crystal (GGA-PBE).

Cell lengths 4.6960, 4.6960, 4.6960 Å; angles 90.00, 90.00, 90.00 degrees
Closest atoms and distances in Å follow each position.
Sites, in units of the cell vectors:
Nb 0.0000 0.0000 0.0000  6 Os 2.35
Os 0.0000 0.0000 0.5000  2 Nb 2.35
Os 0.0000 0.5000 0.0000  2 Nb 2.35
Os 0.5000 0.0000 0.0000  2 Nb 2.35
Pt 0.5000 0.5000 0.5000  12 Os 3.32

Output
SG   Pm-3m, No. 221
DOS(E_F)   1.57 states/eV/atom
Magnetization   2.50 μB per cell

=====

Version ii
Entry from Alexandria: a relaxed NbOs3Pt crystal (GGA-PBE).

Cell lengths 4.6878, 4.6878, 4.6878 Å; angles 90.00, 90.00, 90.00 degrees
Closest atoms and distances in Å follow each position.
Sites, in units of the cell vectors:
Nb 0.0000 0.0000 0.0000  12 Os 3.31
Os 0.0000 0.5000 0.5000  2 Pt 2.34
Os 0.5000 0.0000 0.5000  2 Pt 2.34
Os 0.5000 0.5000 0.0000  2 Pt 2.34
Pt 0.5000 0.5000 0.5000  6 Os 2.34

Output
SG   Pm-3m, No. 221
DOS(E_F)   2.01 states/eV/atom
Magnetization   0.00 μB per cell

=====

Energy ordering: version i at the bottom, the next structure 1.2 kJ/mol of atoms above.

=====

Version i
Entry from Alexandria: a relaxed Nb2OsPt2 crystal (GGA-PBE).

Cell lengths 7.1497, 7.1497, 3.3190 Å; angles 90.00, 90.00, 90.00 degrees
Closest atoms and distances in Å follow each position.
Sites, in units of the cell vectors:
Nb 0.1759 0.3241 0.0000  6 Pt 2.57-2.76
Nb 0.3241 0.8241 0.0000  6 Pt 2.57-2.76
Nb 0.6759 0.1759 0.0000  6 Pt 2.57-2.76
Nb 0.8241 0.6759 0.0000  6 Pt 2.57-2.76
Os 0.0000 0.0000 0.5000  4 Pt 2.81, 8 Nb 3.12
Os 0.5000 0.5000 0.5000  4 Pt 2.81, 8 Nb 3.12
Pt 0.1294 0.6294 0.5000  6 Nb 2.57-2.76, 1 Pt 2.62, 2 Os 2.81
Pt 0.3706 0.1294 0.5000  6 Nb 2.57-2.76, 1 Pt 2.62, 2 Os 2.81
Pt 0.6294 0.8706 0.5000  6 Nb 2.57-2.76, 1 Pt 2.62, 2 Os 2.81
Pt 0.8706 0.3706 0.5000  6 Nb 2.57-2.76, 1 Pt 2.62, 2 Os 2.81

Output
SG   P4/mbm, No. 127
DOS(E_F)   0.75 states/eV/atom
Magnetization   0.00 μB per cell

=====

Version ii
Entry from Alexandria: a relaxed Nb2OsPt2 crystal (GGA-PBE).

Cell lengths 7.3491, 7.3491, 2.7675 Å; angles 90.00, 90.00, 146.73 degrees
Closest atoms and distances in Å follow each position.
Sites, in units of the cell vectors:
Nb 0.1091 0.8909 0.0000  3 Nb 2.77-3.07, 4 Pt 2.78, 4 Os 2.95
Nb 0.8909 0.1091 0.0000  3 Nb 2.77-3.07, 4 Pt 2.78, 4 Os 2.95
Os 0.5000 0.5000 0.5000  2 Pt 2.71, 2 Os 2.77, 8 Nb 2.95
Pt 0.3078 0.6922 0.5000  4 Pt 2.66-2.77, 1 Os 2.71, 4 Nb 2.78
Pt 0.6922 0.3078 0.5000  4 Pt 2.66-2.77, 1 Os 2.71, 4 Nb 2.78

Output
SG   Cmmm, No. 65
DOS(E_F)   1.05 states/eV/atom
Magnetization   0.00 μB per cell

=====

Energy ordering: version ii at the bottom, the next structure 13.2 kJ/mol of atoms above.

=====

Version i
Entry from Alexandria: a relaxed Nb3OsPt crystal (GGA-PBE).

Cell lengths 4.7930, 4.7930, 4.7930 Å; angles 90.00, 90.00, 90.00 degrees
Closest atoms and distances in Å follow each position.
Sites, in units of the cell vectors:
Nb 0.0000 0.0000 0.5000  2 Os 2.40
Nb 0.0000 0.5000 0.0000  2 Os 2.40
Nb 0.5000 0.0000 0.0000  2 Os 2.40
Os 0.0000 0.0000 0.0000  6 Nb 2.40
Pt 0.5000 0.5000 0.5000  12 Nb 3.39

Output
SG   Pm-3m, No. 221
DOS(E_F)   1.12 states/eV/atom
Magnetization   0.00 μB per cell

=====

Version ii
Entry from Alexandria: a relaxed Nb3OsPt crystal (GGA-PBE).

Cell lengths 4.7962, 4.7962, 4.7962 Å; angles 90.00, 90.00, 90.00 degrees
Closest atoms and distances in Å follow each position.
Sites, in units of the cell vectors:
Nb 0.0000 0.0000 0.5000  2 Pt 2.40
Nb 0.0000 0.5000 0.0000  2 Pt 2.40
Nb 0.5000 0.0000 0.0000  2 Pt 2.40
Os 0.5000 0.5000 0.5000  12 Nb 3.39
Pt 0.0000 0.0000 0.0000  6 Nb 2.40

Output
SG   Pm-3m, No. 221
DOS(E_F)   1.45 states/eV/atom
Magnetization   0.00 μB per cell

=====

Energy ordering: version i at the bottom, the next structure 48.6 kJ/mol of atoms above.

=====

Version i
Entry from Alexandria: a relaxed NbOsPt2 crystal (GGA-PBE).

Cell lengths 9.7670, 9.7670, 9.7670 Å; angles 157.49, 157.49, 32.04 degrees
Closest atoms and distances in Å follow each position.
Sites, in units of the cell vectors:
Nb 0.0000 0.0000 0.0000  4 Os 2.70, 4 Pt 2.72
Nb 0.7500 0.2500 0.5000  4 Os 2.70, 4 Pt 2.72
Os 0.2500 0.7500 0.5000  4 Pt 2.69, 4 Nb 2.70
Os 0.5000 0.5000 0.0000  4 Pt 2.69, 4 Nb 2.70
Pt 0.1344 0.6250 0.0094  4 Pt 2.65-2.75, 2 Os 2.69, 2 Nb 2.72
Pt 0.3750 0.3844 0.5094  4 Pt 2.65-2.75, 2 Os 2.69, 2 Nb 2.72
Pt 0.6156 0.1250 0.9906  4 Pt 2.65-2.75, 2 Os 2.69, 2 Nb 2.72
Pt 0.8750 0.8656 0.4906  4 Pt 2.65-2.75, 2 Os 2.69, 2 Nb 2.72

Output
SG   I-42d, No. 122
DOS(E_F)   0.97 states/eV/atom
Magnetization   0.00 μB per cell

=====

Version ii
Entry from Alexandria: a relaxed NbOsPt2 crystal (GGA-PBE).

Cell lengths 4.5050, 4.5050, 4.5050 Å; angles 60.00, 60.00, 60.00 degrees
Closest atoms and distances in Å follow each position.
Sites, in units of the cell vectors:
Nb 0.0000 0.0000 0.0000  8 Pt 2.76
Os 0.5000 0.5000 0.5000  8 Pt 2.76
Pt 0.2500 0.2500 0.2500  4 Nb 2.76, 4 Os 2.76
Pt 0.7500 0.7500 0.7500  4 Nb 2.76, 4 Os 2.76

Output
SG   Fm-3m, No. 225
DOS(E_F)   1.54 states/eV/atom
Magnetization   0.40 μB per cell

=====

Energy ordering: version i at the bottom, the next structure 1.0 kJ/mol of atoms above.

=====

Version i
Entry from Alexandria: a relaxed RbNbOs2 crystal (GGA-PBE).

Cell lengths 9.4180, 9.4180, 9.4180 Å; angles 148.64, 148.64, 44.94 degrees
Closest atoms and distances in Å follow each position.
Sites, in units of the cell vectors:
Rb 0.3750 0.6250 0.7500  8 Os 3.58, 4 Nb 3.60
Rb 0.6250 0.3750 0.2500  8 Os 3.58, 4 Nb 3.60
Nb 0.1250 0.8750 0.2500  4 Os 2.52
Nb 0.8750 0.1250 0.7500  4 Os 2.52
Os 0.0000 0.0000 0.0000  2 Nb 2.52, 2 Os 2.55
Os 0.0000 0.0000 0.5000  2 Nb 2.52, 2 Os 2.55
Os 0.0000 0.5000 0.0000  2 Nb 2.52, 2 Os 2.55
Os 0.5000 0.0000 0.5000  2 Nb 2.52, 2 Os 2.55

Output
SG   I4_1/amd, No. 141
DOS(E_F)   0.97 states/eV/atom
Magnetization   1.48 μB per cell

=====

Version ii
Entry from Alexandria: a relaxed RbNbOs2 crystal (GGA-PBE).

Cell lengths 4.7098, 4.7098, 4.7098 Å; angles 60.00, 60.00, 60.00 degrees
Closest atoms and distances in Å follow each position.
Sites, in units of the cell vectors:
Rb 0.0000 0.0000 0.0000  8 Os 2.88
Nb 0.5000 0.5000 0.5000  8 Os 2.88
Os 0.2500 0.2500 0.2500  4 Nb 2.88, 4 Rb 2.88
Os 0.7500 0.7500 0.7500  4 Nb 2.88, 4 Rb 2.88

Output
SG   Fm-3m, No. 225
DOS(E_F)   0.84 states/eV/atom
Magnetization   0.00 μB per cell

=====

Energy ordering: version i at the bottom, the next structure 6.5 kJ/mol of atoms above.

=====

Version i
Entry from Alexandria: a relaxed RbNb3Os crystal (GGA-PBE).

Cell lengths 5.0351, 5.0351, 5.0351 Å; angles 90.00, 90.00, 90.00 degrees
Closest atoms and distances in Å follow each position.
Sites, in units of the cell vectors:
Rb 0.0000 0.0000 0.0000  12 Nb 3.56
Nb 0.0000 0.5000 0.5000  2 Os 2.52
Nb 0.5000 0.0000 0.5000  2 Os 2.52
Nb 0.5000 0.5000 0.0000  2 Os 2.52
Os 0.5000 0.5000 0.5000  6 Nb 2.52

Output
SG   Pm-3m, No. 221
DOS(E_F)   1.18 states/eV/atom
Magnetization   1.34 μB per cell

=====

Version ii
Entry from Alexandria: a relaxed RbNb3Os crystal (GGA-PBE).

Cell lengths 4.6869, 4.6869, 4.6869 Å; angles 90.00, 90.00, 90.00 degrees
Closest atoms and distances in Å follow each position.
Sites, in units of the cell vectors:
Rb 0.0000 0.0000 0.0000  6 Nb 2.34
Nb 0.0000 0.0000 0.5000  2 Rb 2.34
Nb 0.0000 0.5000 0.0000  2 Rb 2.34
Nb 0.5000 0.0000 0.0000  2 Rb 2.34
Os 0.5000 0.5000 0.5000  12 Nb 3.31

Output
SG   Pm-3m, No. 221
DOS(E_F)   0.70 states/eV/atom
Magnetization   0.00 μB per cell

=====

Energy ordering: version i at the bottom, the next structure 173.9 kJ/mol of atoms above.

=====

Version i
Entry from Alexandria: a relaxed RbNbOs3 crystal (GGA-PBE).

Cell lengths 4.6460, 4.6460, 4.6460 Å; angles 90.00, 90.00, 90.00 degrees
Closest atoms and distances in Å follow each position.
Sites, in units of the cell vectors:
Rb 0.0000 0.0000 0.0000  6 Os 2.32
Nb 0.5000 0.5000 0.5000  12 Os 3.29
Os 0.0000 0.0000 0.5000  2 Rb 2.32
Os 0.0000 0.5000 0.0000  2 Rb 2.32
Os 0.5000 0.0000 0.0000  2 Rb 2.32

Output
SG   Pm-3m, No. 221
DOS(E_F)   1.09 states/eV/atom
Magnetization   0.00 μB per cell

=====

Version ii
Entry from Alexandria: a relaxed RbNbOs3 crystal (GGA-PBE).

Cell lengths 4.9386, 4.9386, 4.9386 Å; angles 90.00, 90.00, 90.00 degrees
Closest atoms and distances in Å follow each position.
Sites, in units of the cell vectors:
Rb 0.0000 0.0000 0.0000  12 Os 3.49
Nb 0.5000 0.5000 0.5000  6 Os 2.47
Os 0.0000 0.5000 0.5000  2 Nb 2.47
Os 0.5000 0.0000 0.5000  2 Nb 2.47
Os 0.5000 0.5000 0.0000  2 Nb 2.47

Output
SG   Pm-3m, No. 221
DOS(E_F)   0.93 states/eV/atom
Magnetization   3.40 μB per cell

=====

Energy ordering: version ii at the bottom, the next structure 158.1 kJ/mol of atoms above.